CdNiI2O | GGA+U | optimized geometry

Properties
The value obtained for the offset from the most stable computed form is 0 meV per atom. Its crystal system is tetragonal. The total energy comes out at -11.6 eV per cell. The calculation puts the volume at 122.4 Å³ per cell.

```
5
Lattice="5.810 0.000 0.000 0.000 5.810 0.000 0.000 0.000 3.624" Properties=species:S:1:pos:R:3 pbc="T T T"
O 0.000 0.000 1.812
I 0.000 2.905 0.000
I 2.905 0.000 0.000
Cd 2.905 2.905 1.812
Ni 0.000 0.000 0.000
```